Entry 1:
# Mn2CdPb | Alexandria | GGA-PBE | optimized geometry
data_Mn2CdPb
_symmetry_space_group_name_H-M 'P 1'
_symmetry_Int_Tables_number 1
_cell_length_a 9.918
_cell_length_b 9.918
_cell_length_c 9.918
_cell_angle_alpha 18.17
_cell_angle_beta 18.17
_cell_angle_gamma 18.17
loop_
_symmetry_equiv_pos_as_xyz
'x,y,z'
loop_
_atom_site_label
_atom_site_fract_x
_atom_site_fract_y
_atom_site_fract_z
Mn1 0.000 0.000 0.000
Mn2 0.264 0.264 0.264
Cd1 0.745 0.745 0.745
Pb1 0.512 0.512 0.512
# Crystal system = trigonal
# DOS at the Fermi energy = 0.604 states/eV/atom
# Total DFT energy (no corrections) = -5.281 eV/atom


Entry 2:
# Rb2TlIn3Ga4 | Alexandria | GGA-PBE | optimized geometry
data_Rb2TlIn3Ga4
_symmetry_space_group_name_H-M 'P 1'
_symmetry_Int_Tables_number 1
_cell_length_a 4.892
_cell_length_b 4.892
_cell_length_c 11.998
_cell_angle_alpha 90.00
_cell_angle_beta 90.00
_cell_angle_gamma 90.00
loop_
_symmetry_equiv_pos_as_xyz
'x,y,z'
loop_
_atom_site_label
_atom_site_fract_x
_atom_site_fract_y
_atom_site_fract_z
Rb1 0.000 0.500 0.246
Rb2 0.500 0.000 0.754
Tl1 0.000 0.000 0.500
In1 0.000 0.500 0.871
In2 0.500 0.000 0.129
In3 0.500 0.500 0.500
Ga1 0.000 0.000 0.000
Ga2 0.000 0.500 0.637
Ga3 0.500 0.000 0.363
Ga4 0.500 0.500 0.000
# Crystal system = tetragonal
# DOS at the Fermi energy = 0.349 states/eV/atom
# Total DFT energy (no corrections) = -2.543 eV/atom